No. 1
The following is a DFT calculation (PBE) of a relaxed BaCaAgHg crystal.

The structure in POSCAR format:
```
BaCaAgHg
1.0
5.6294 0.0000 0.0000
2.8147 4.8752 0.0000
2.8147 1.6251 4.5964
Hg Ba Ag Ca
1 1 1 1
Cartesian
0.0000 0.0000 0.0000 Hg
2.8147 1.6251 1.1491 Ba
5.6294 3.2501 2.2982 Ag
8.4440 4.8752 3.4473 Ca
```

Summary:
DOS(E_F)	3.11	states/eV per cell
total magnetization	0.00	μB per cell
VASP energy	-2.130	eV per atom
formation enthalpy at 0 K	-0.36	eV/atom

=====

No. 2
The following is a DFT calculation (PBE) of a relaxed Ba2CaAg3Hg12 crystal.

The structure in POSCAR format:
```
Ba2CaAg3Hg12
1.0
-0.8370 -8.4282 -2.8762
6.9781 -2.4893 -5.0117
5.4330 -5.5573 4.4279
Hg Ag Ca Ba
12 3 1 2
Cartesian
5.2310 -8.6129 -4.8090 Hg
2.9810 -9.4014 -2.5676 Hg
7.1716 -6.2169 -3.7127 Hg
7.3225 -11.4405 -5.0185 Hg
6.6002 -12.8748 -0.6053 Hg
4.4025 -10.2579 0.2527 Hg
4.2516 -5.0344 1.5585 Hg
4.9739 -3.6000 -2.8547 Hg
10.2539 -10.0983 -1.6037 Hg
1.3202 -6.3766 -1.8563 Hg
6.3431 -7.8620 1.3490 Hg
8.5931 -7.0734 -0.8924 Hg
2.7165 -2.7786 2.2140 Ag
-0.4185 -4.2141 -1.4381 Ag
3.4891 -1.2447 -2.5059 Ag
0.0000 0.0000 0.0000 Ca
6.9399 -9.8783 -2.0746 Ba
4.6343 -6.5965 -1.3854 Ba
```

Summary:
DOS(E_F)	10.04	states/eV per cell
total magnetization	0.00	μB per cell
VASP energy	-1.055	eV per atom
formation enthalpy at 0 K	-0.05	eV/atom

=====

No. 3
The following is a DFT calculation (PBE) of a relaxed BaCa2InAg crystal.

The structure in POSCAR format:
```
BaCa2InAg
1.0
5.8179 0.0000 0.0000
0.0000 5.8179 0.0000
0.0000 0.0000 5.4058
Ba Ca In Ag
1 2 1 1
Cartesian
2.9090 2.9090 2.7029 Ba
0.0000 2.9090 0.0000 Ca
2.9090 0.0000 0.0000 Ca
0.0000 0.0000 2.7029 In
0.0000 0.0000 0.0000 Ag
```

Summary:
DOS(E_F)	3.84	states/eV per cell
total magnetization	0.00	μB per cell
VASP energy	-2.439	eV per atom
formation enthalpy at 0 K	-0.14	eV/atom

=====

No. 4
The following is a DFT calculation (PBE) of a relaxed Ba2CaAgIr crystal.

The structure in POSCAR format:
```
Ba2CaAgIr
1.0
-2.0318 -5.4638 1.6746
5.1396 -0.9701 3.0708
-2.2593 2.2135 4.4807
Ca Ag Ba Ir
1 1 2 1
Cartesian
-1.1297 1.1067 2.2404 Ca
0.4242 -2.1102 4.6131 Ag
2.5698 -0.4851 1.5354 Ba
-1.0159 -2.7319 0.8373 Ba
0.0000 0.0000 0.0000 Ir
```

Summary:
DOS(E_F)	4.51	states/eV per cell
total magnetization	0.00	μB per cell
VASP energy	-3.590	eV per atom
formation enthalpy at 0 K	-0.08	eV/atom

=====

No. 5
The following is a DFT calculation (PBE) of a relaxed KBaCa2Ag crystal.

The structure in POSCAR format:
```
KBaCa2Ag
1.0
-2.9774 -3.2939 4.0521
1.7646 -5.0248 -2.7879
5.2912 -0.2060 3.7204
Ba K Ca Ag
1 1 2 1
Cartesian
2.0392 -4.2624 2.4923 Ba
2.6456 -0.1030 1.8602 K
-1.4887 -1.6470 2.0261 Ca
0.8823 -2.5124 -1.3940 Ca
0.0000 0.0000 0.0000 Ag
```

Summary:
DOS(E_F)	3.81	states/eV per cell
total magnetization	0.00	μB per cell
VASP energy	-1.931	eV per atom
E above lowest polymorph	0.079	eV per atom
formation enthalpy at 0 K	0.04	eV/atom

=====

No. 6
The following is a DFT calculation (PBE) of a relaxed KBa2CaAg crystal.

The structure in POSCAR format:
```
KBa2CaAg
1.0
-3.5544 5.1496 -2.2203
-5.4800 -2.6315 2.6695
1.0918 2.9911 5.1896
Ba Ca K Ag
2 1 1 1
Cartesian
-2.7400 -1.3157 1.3348 Ba
-1.7772 2.5748 -1.1101 Ba
0.5459 1.4956 2.5948 Ca
-3.9713 2.7546 2.8194 K
0.0000 0.0000 0.0000 Ag
```

Summary:
DOS(E_F)	4.47	states/eV per cell
total magnetization	0.00	μB per cell
VASP energy	-2.005	eV per atom
E above lowest polymorph	0.000	eV per atom
formation enthalpy at 0 K	-0.05	eV/atom

=====

No. 7
The following is a DFT calculation (PBE) of a relaxed KBa2CaAg crystal.

The structure in POSCAR format:
```
KBa2CaAg
1.0
6.5472 0.0000 0.0000
0.0000 6.5472 0.0000
0.0000 0.0000 6.4361
Ca K Ba Ag
1 1 2 1
Cartesian
3.2736 3.2736 3.2180 Ca
0.0000 0.0000 3.2180 K
3.2736 0.0000 0.0000 Ba
0.0000 3.2736 0.0000 Ba
0.0000 0.0000 0.0000 Ag
```

Summary:
DOS(E_F)	4.51	states/eV per cell
total magnetization	0.00	μB per cell
VASP energy	-1.889	eV per atom
E above lowest polymorph	0.115	eV per atom
formation enthalpy at 0 K	0.07	eV/atom

=====

No. 8
The following is a DFT calculation (PBE) of a relaxed KBaCa2Ag crystal.

The structure in POSCAR format:
```
KBaCa2Ag
1.0
-4.8542 3.5622 -0.7943
-2.6315 -2.5003 4.8690
2.7070 4.5341 3.7913
Ag Ca K Ba
1 2 1 1
Cartesian
0.0000 0.0000 0.0000 Ag
-1.3158 -1.2501 2.4345 Ca
-2.4271 1.7811 -0.3971 Ca
-2.3894 2.7980 3.9330 K
1.3535 2.2671 1.8957 Ba
```

Summary:
DOS(E_F)	3.95	states/eV per cell
total magnetization	0.00	μB per cell
VASP energy	-2.009	eV per atom
E above lowest polymorph	0.000	eV per atom
formation enthalpy at 0 K	-0.03	eV/atom

=====

No. 9
The following is a DFT calculation (PBE) of a relaxed BaCa2LaAg crystal.

The structure in POSCAR format:
```
BaCa2LaAg
1.0
-2.8260 4.5753 2.6496
-4.8771 -3.4159 0.6967
2.0184 -1.8065 5.2722
Ca Ag Ba La
2 1 1 1
Cartesian
-2.4386 -1.7079 0.3483 Ca
-1.4130 2.2876 1.3248 Ca
0.0000 0.0000 0.0000 Ag
-2.8424 -0.3235 4.3092 Ba
1.0092 -0.9033 2.6361 La
```

Summary:
DOS(E_F)	5.77	states/eV per cell
total magnetization	0.00	μB per cell
VASP energy	-2.748	eV per atom
formation enthalpy at 0 K	-0.01	eV/atom

=====

No. 10
The following is a DFT calculation (PBE) of a relaxed BaLiCaAg crystal.

The structure in POSCAR format:
```
BaLiCaAg
1.0
-3.8516 -1.9520 -1.4633
2.4612 -3.6547 -1.6029
1.2571 -1.9697 6.4213
Ba Ca Li Ag
1 1 1 1
Cartesian
-1.1637 -4.8672 2.4533 Ba
-0.1765 -0.7776 1.5020 Ca
-0.7827 -3.1888 -0.7886 Li
-0.6048 -2.6646 5.1466 Ag
```

Summary:
DOS(E_F)	2.89	states/eV per cell
total magnetization	0.00	μB per cell
VASP energy	-2.308	eV per atom
E above lowest polymorph	0.000	eV per atom
formation enthalpy at 0 K	-0.14	eV/atom

=====

No. 11
The following is a DFT calculation (PBE) of a relaxed BaLiCa2Ag4 crystal.

The structure in POSCAR format:
```
BaLiCa2Ag4
1.0
-0.5482 -1.5795 4.8639
0.4733 -4.9902 1.1521
9.4348 -0.9538 3.4730
Ag Ba Ca Li
4 1 2 1
Cartesian
3.4335 -6.1113 6.5604 Ag
1.9897 -4.1133 4.3272 Ag
7.3700 -3.4103 5.1619 Ag
5.9263 -1.4123 2.9287 Ag
0.0000 0.0000 0.0000 Ba
2.8975 -1.8080 2.4588 Ca
6.4623 -5.7155 7.0303 Ca
4.6799 -3.7618 4.7445 Li
```

Summary:
DOS(E_F)	5.04	states/eV per cell
total magnetization	0.00	μB per cell
VASP energy	-2.626	eV per atom
formation enthalpy at 0 K	-0.22	eV/atom

=====

No. 12
The following is a DFT calculation (PBE) of a relaxed BaLiCa2Ag crystal.

The structure in POSCAR format:
```
BaLiCa2Ag
1.0
-3.2474 2.5506 -4.2026
-4.8791 -1.0561 3.1292
0.5596 4.8435 2.5072
Li Ba Ca Ag
1 1 2 1
Cartesian
0.2798 2.4218 1.2536 Li
-3.7835 3.1690 0.7170 Ba
-1.6237 1.2753 -2.1013 Ca
-2.4396 -0.5281 1.5646 Ca
0.0000 0.0000 0.0000 Ag
```

Summary:
DOS(E_F)	5.63	states/eV per cell
total magnetization	0.00	μB per cell
VASP energy	-2.158	eV per atom
E above lowest polymorph	0.000	eV per atom
formation enthalpy at 0 K	-0.02	eV/atom

=====

No. 13
The following is a DFT calculation (PBE) of a relaxed BaLiCa2Ag crystal.

The structure in POSCAR format:
```
BaLiCa2Ag
1.0
5.8709 0.0000 0.0000
0.0000 5.8709 0.0000
0.0000 0.0000 6.3783
Ca Ba Li Ag
2 1 1 1
Cartesian
0.0000 2.9354 0.0000 Ca
2.9354 0.0000 0.0000 Ca
0.0000 0.0000 3.1892 Ba
2.9354 2.9354 3.1892 Li
0.0000 0.0000 0.0000 Ag
```

Summary:
DOS(E_F)	2.69	states/eV per cell
total magnetization	0.00	μB per cell
VASP energy	-2.126	eV per atom
E above lowest polymorph	0.032	eV per atom
formation enthalpy at 0 K	0.01	eV/atom

=====

No. 14
The following is a DFT calculation (PBE) of a relaxed BaLiCaAg crystal.

The structure in POSCAR format:
```
BaLiCaAg
1.0
5.6922 0.0000 0.0000
2.8461 4.9296 0.0000
2.8461 1.6432 4.6476
Ba Ag Li Ca
1 1 1 1
Cartesian
8.5382 4.9296 3.4857 Ba
5.6922 3.2864 2.3238 Ag
0.0000 0.0000 0.0000 Li
2.8461 1.6432 1.1619 Ca
```

Summary:
DOS(E_F)	3.58	states/eV per cell
total magnetization	0.00	μB per cell
VASP energy	-2.267	eV per atom
E above lowest polymorph	0.041	eV per atom
formation enthalpy at 0 K	-0.09	eV/atom

=====

No. 15
The following is a DFT calculation (PBE) of a relaxed Ba2CaMgAg crystal.

The structure in POSCAR format:
```
Ba2CaMgAg
1.0
-0.4070 -2.5827 5.8494
3.0863 -5.2127 -2.0868
5.0924 2.4416 1.4324
Mg Ca Ag Ba
1 1 1 2
Cartesian
3.8858 -2.6769 2.5975 Mg
2.5462 1.2208 0.7162 Ca
0.0000 0.0000 0.0000 Ag
-0.2035 -1.2914 2.9247 Ba
1.5431 -2.6063 -1.0434 Ba
```

Summary:
DOS(E_F)	4.11	states/eV per cell
total magnetization	0.00	μB per cell
VASP energy	-2.024	eV per atom
E above lowest polymorph	0.035	eV per atom
formation enthalpy at 0 K	0.03	eV/atom

=====

No. 16
The following is a DFT calculation (PBE) of a relaxed BaCaMg2Ag4 crystal.

The structure in POSCAR format:
```
BaCaMg2Ag4
1.0
-4.2810 -1.9537 1.0514
-0.2718 -4.6122 1.3797
-0.4021 0.7226 10.7623
Ag Ca Mg Ba
4 1 2 1
Cartesian
-0.7734 -0.2464 7.4497 Ag
-2.1579 -2.0876 9.4478 Ag
-2.7970 -3.7557 3.7455 Ag
-4.1815 -5.5968 5.7436 Ag
-2.4775 -2.9216 6.5966 Ca
-1.2041 -1.3705 3.6070 Mg
-3.7508 -4.4727 9.5863 Mg
0.0000 0.0000 0.0000 Ba
```

Summary:
DOS(E_F)	3.95	states/eV per cell
total magnetization	0.00	μB per cell
VASP energy	-2.564	eV per atom
formation enthalpy at 0 K	-0.25	eV/atom

=====

No. 17
The following is a DFT calculation (PBE) of a relaxed BaCaMgAg2 crystal.

The structure in POSCAR format:
```
BaCaMgAg2
1.0
-3.4349 -1.1706 3.1862
-0.9188 -0.2317 -4.7353
2.5736 -7.8638 -0.1146
Ca Ba Ag Mg
1 1 2 1
Cartesian
-1.6126 -3.8629 0.5019 Ca
2.5435 -7.7717 -0.1132 Ba
-1.1187 -2.4967 -2.1232 Ag
-0.6879 -6.6884 0.4608 Ag
-0.1108 -5.5763 -2.1681 Mg
```

Summary:
DOS(E_F)	2.16	states/eV per cell
total magnetization	0.00	μB per cell
VASP energy	-2.373	eV per atom
formation enthalpy at 0 K	-0.13	eV/atom

=====

No. 18
The following is a DFT calculation (PBE) of a relaxed Ba2CaMgAg crystal.

The structure in POSCAR format:
```
Ba2CaMgAg
1.0
-1.8957 5.7454 2.3737
-5.5946 -2.6587 1.9671
2.2214 -1.2046 4.6896
Mg Ba Ag Ca
1 2 1 1
Cartesian
1.1107 -0.6023 2.3448 Mg
-0.9478 2.8727 1.1868 Ba
-2.7973 -1.3293 0.9836 Ba
0.0000 0.0000 0.0000 Ag
-2.6344 0.9411 4.5152 Ca
```

Summary:
DOS(E_F)	5.81	states/eV per cell
total magnetization	0.00	μB per cell
VASP energy	-2.059	eV per atom
E above lowest polymorph	0.000	eV per atom
formation enthalpy at 0 K	0.00	eV/atom

=====

No. 19
The following is a DFT calculation (PBE) of a relaxed BaCa2MgAg4 crystal.

The structure in POSCAR format:
```
BaCa2MgAg4
1.0
5.1398 0.0000 0.0000
2.5699 4.4512 0.0000
2.5699 1.4837 9.6316
Ag Ba Mg Ca
4 1 1 2
Cartesian
7.7097 4.4512 3.6947 Ag
2.5699 1.4837 5.9370 Ag
5.1398 2.9675 1.9993 Ag
5.1398 2.9675 7.6323 Ag
0.0000 0.0000 0.0000 Ba
5.1398 2.9675 4.8158 Mg
2.5699 1.4837 2.8560 Ca
7.7097 4.4512 6.7756 Ca
```

Summary:
DOS(E_F)	5.16	states/eV per cell
total magnetization	0.00	μB per cell
VASP energy	-2.599	eV per atom
formation enthalpy at 0 K	-0.23	eV/atom

=====

No. 20
The following is a DFT calculation (PBE) of a relaxed BaCa2MnAg crystal.

The structure in POSCAR format:
```
BaCa2MnAg
1.0
6.0289 0.0000 0.0000
0.0000 4.6206 0.0000
0.0000 0.0000 6.0289
Ca Ag Ba Mn
2 1 1 1
Cartesian
0.0000 0.0000 3.0144 Ca
3.0144 0.0000 0.0000 Ca
3.0144 2.3103 3.0144 Ag
0.0000 0.0000 0.0000 Ba
0.0000 2.3103 0.0000 Mn
```

Summary:
DOS(E_F)	7.49	states/eV per cell
total magnetization	0.00	μB per cell
VASP energy	-2.174	eV per atom
formation enthalpy at 0 K	1.42	eV/atom

=====

No. 21
The following is a DFT calculation (PBE) of a relaxed Ba2CaAgN crystal.

The structure in POSCAR format:
```
Ba2CaAgN
1.0
5.7152 0.0000 0.0000
0.0000 5.7152 0.0000
0.0000 0.0000 4.8187
Ba Ag Ca N
2 1 1 1
Cartesian
2.8576 0.0000 0.0000 Ba
0.0000 2.8576 0.0000 Ba
2.8576 2.8576 2.4094 Ag
0.0000 0.0000 2.4094 Ca
0.0000 0.0000 0.0000 N
```

Summary:
DOS(E_F)	3.78	states/eV per cell
total magnetization	0.00	μB per cell
VASP energy	-3.722	eV per atom
formation energy from raw total energies	-317	meV/atom

=====

No. 22
The following is a DFT calculation (PBE) of a relaxed BaCaAgN2 crystal.

The structure in POSCAR format:
```
BaCaAgN2
1.0
4.7190 0.0000 0.0000
0.0000 5.2626 0.0000
0.0000 0.0000 4.7190
N Ca Ag Ba
2 1 1 1
Cartesian
2.3595 0.0000 0.0000 N
0.0000 0.0000 2.3595 N
2.3595 2.6313 2.3595 Ca
0.0000 0.0000 0.0000 Ag
0.0000 2.6313 0.0000 Ba
```

Summary:
DOS(E_F)	3.08	states/eV per cell
total magnetization	1.56	μB per cell
VASP energy	-3.168	eV per atom
formation energy from raw total energies	1517	meV/atom

=====

No. 23
The following is a DFT calculation (PBE) of a relaxed BaNa2CaAg crystal.

The structure in POSCAR format:
```
BaNa2CaAg
1.0
5.8572 0.0000 0.0000
0.0000 5.8572 0.0000
0.0000 0.0000 5.9011
Ag Na Ca Ba
1 2 1 1
Cartesian
0.0000 0.0000 0.0000 Ag
0.0000 2.9286 0.0000 Na
2.9286 0.0000 0.0000 Na
0.0000 0.0000 2.9506 Ca
2.9286 2.9286 2.9506 Ba
```

Summary:
DOS(E_F)	4.64	states/eV per cell
total magnetization	0.00	μB per cell
VASP energy	-1.835	eV per atom
formation enthalpy at 0 K	0.05	eV/atom

=====

No. 24
The following is a DFT calculation (PBE) of a relaxed BaCa2NiAg crystal.

The structure in POSCAR format:
```
BaCa2NiAg
1.0
5.4101 0.0000 0.0000
0.0000 5.4101 0.0000
0.0000 0.0000 5.9087
Ca Ni Ag Ba
2 1 1 1
Cartesian
0.0000 2.7051 0.0000 Ca
2.7051 0.0000 0.0000 Ca
0.0000 0.0000 0.0000 Ni
2.7051 2.7051 2.9543 Ag
0.0000 0.0000 2.9543 Ba
```

Summary:
DOS(E_F)	2.64	states/eV per cell
total magnetization	0.00	μB per cell
VASP energy	-2.905	eV per atom
E above lowest polymorph	0.000	eV per atom
formation enthalpy at 0 K	0.01	eV/atom

=====

No. 25
The following is a DFT calculation (PBE) of a relaxed BaCa2NiAg crystal.

The structure in POSCAR format:
```
BaCa2NiAg
1.0
-3.4704 3.3307 2.3874
-4.0744 -3.1390 -1.5434
0.4407 -2.8242 4.5806
Ag Ba Ca Ni
1 1 2 1
Cartesian
0.2204 -1.4121 2.2903 Ag
-3.5520 -1.3163 2.7123 Ba
-2.0372 -1.5695 -0.7717 Ca
-1.7352 1.6653 1.1937 Ca
0.0000 0.0000 0.0000 Ni
```

Summary:
DOS(E_F)	4.00	states/eV per cell
total magnetization	0.00	μB per cell
VASP energy	-2.887	eV per atom
E above lowest polymorph	0.017	eV per atom
formation enthalpy at 0 K	0.02	eV/atom

=====

No. 26
The following is a DFT calculation (PBE) of a relaxed Ba2CaAgO crystal.

The structure in POSCAR format:
```
Ba2CaAgO
1.0
5.7556 0.0000 0.0000
0.0000 5.7556 0.0000
0.0000 0.0000 4.6143
Ag Ba Ca O
1 2 1 1
Cartesian
2.8778 2.8778 2.3071 Ag
2.8778 0.0000 0.0000 Ba
0.0000 2.8778 0.0000 Ba
0.0000 0.0000 2.3071 Ca
0.0000 0.0000 0.0000 O
```

Summary:
DOS(E_F)	4.44	states/eV per cell
total magnetization	0.00	μB per cell
VASP energy	-3.822	eV per atom
formation energy from raw total energies	-1090	meV/atom

=====

No. 27
The following is a DFT calculation (PBE) of a relaxed Ba3CaAg2O6 crystal.

The structure in POSCAR format:
```
Ba3CaAg2O6
1.0
6.3071 0.0000 0.0000
-3.1536 5.4621 0.0000
0.0000 0.0000 6.8761
Ba O Ca Ag
3 6 1 2
Cartesian
3.1536 1.8207 2.6438 Ba
0.0000 0.0000 0.0000 Ba
0.0000 3.6414 4.2323 Ba
3.1536 3.6465 4.8162 O
-1.5811 4.5543 2.0599 O
1.5811 4.5543 2.0599 O
0.0000 1.8157 2.0599 O
4.7347 0.9078 4.8162 O
1.5724 0.9078 4.8162 O
0.0000 0.0000 3.4380 Ca
3.1536 1.8207 5.9213 Ag
0.0000 3.6414 0.9548 Ag
```

Summary:
DOS(E_F)	7.77	states/eV per cell
total magnetization	2.00	μB per cell
VASP energy	-5.150	eV per atom
formation energy from raw total energies	-1548	meV/atom